(1)
A relaxed structure of Ba5AgPd2. Source: Alexandria, functional PBE.

Cell and atoms, written as POSCAR:
```
Ba5AgPd2
1.0
7.870 0.000 -3.715
-1.754 7.672 -3.715
0.001 0.002 10.196
Ba Ag Pd
10 2 4
direct
0.805 0.966 0.271
0.195 0.034 0.729
0.534 0.695 0.729
0.500 0.500 0.000
0.966 0.466 0.271
0.466 0.305 0.271
0.034 0.534 0.729
0.000 0.000 0.000
0.695 0.195 0.729
0.305 0.805 0.271
0.250 0.250 0.500
0.750 0.750 0.500
0.122 0.378 0.000
0.622 0.122 0.000
0.378 0.878 0.000
0.878 0.622 0.000
```

Its space group is I4/mcm. The calculation puts the formation energy from the elements at -0.37 eV/atom. Its mass density is 5.43 Mg/m³. As for the volume: 615.7 Å³/cell. The calculation puts the spin magnetization at 0.00 Bohr magnetons per cell. For the density of states at the Fermi level, the calculation gives 10.4 states/eV/cell.

(2)
A relaxed structure of Sr3ReSi. Source: Alexandria, functional PBE.

Cell and atoms, written as POSCAR:
```
Sr3ReSi
1.0
-3.616 2.915 -3.257
-1.137 -4.709 -2.952
-4.220 -1.229 3.586
Sr Si Re
3 1 1
direct
0.500 0.000 0.000
0.000 0.500 0.000
0.000 0.000 0.500
0.500 0.500 0.500
0.000 0.000 0.000
```

Its space group is Pm-3m. Its mass density is 4.34 Mg/m³. The value obtained for the formation energy without anion corrections is 981 meV per atom. As for the volume: 182.6 Å³/cell. The calculation puts the spin magnetization at 1.60 Bohr magnetons per cell. For the density of states at the Fermi level, the calculation gives 5.8 states/eV/cell.

(3)
A relaxed structure of LaEr2Si4. Source: Alexandria, functional PBE.

Cell and atoms, written as POSCAR:
```
LaEr2Si4
1.0
3.799 0.000 -0.866
-0.225 4.222 -0.986
0.106 -0.071 9.227
Si La Er
4 1 2
direct
0.348 0.348 0.697
0.932 0.432 0.863
0.652 0.652 0.303
0.068 0.568 0.137
0.500 0.000 0.000
0.183 0.183 0.367
0.817 0.817 0.633
```

Its space group is Immm. Its mass density is 6.57 Mg/m³. The value obtained for the formation energy without anion corrections is -770 meV per atom. As for the volume: 148.1 Å³/cell. The calculation puts the spin magnetization at 0.00 Bohr magnetons per cell. For the density of states at the Fermi level, the calculation gives 3.5 states/eV/cell.

(4)
A relaxed structure of Ba2LaIn. Source: Alexandria, functional PBE.

Cell and atoms, written as POSCAR:
```
Ba2LaIn
1.0
4.001 0.000 0.000
0.000 5.420 0.000
0.000 0.000 7.638
In Ba La
1 2 1
direct
0.500 0.500 0.250
0.000 0.000 0.484
0.000 0.000 0.016
0.500 0.500 0.750
```

Its space group is Pmmm. The calculation puts the formation energy from the elements at -0.04 eV/atom. Its mass density is 5.30 Mg/m³. As for the volume: 165.6 Å³/cell. The calculation puts the spin magnetization at 0.00 Bohr magnetons per cell. For the density of states at the Fermi level, the calculation gives 5.7 states/eV/cell.

(5)
A relaxed structure of Tb4Ho3Ni4. Source: Alexandria, functional PBE.

Cell and atoms, written as POSCAR:
```
Tb4Ho3Ni4
1.0
-0.083 -1.858 3.282
-6.961 -4.862 -2.927
8.289 -1.784 -2.968
Tb Ni Ho
4 4 3
direct
0.660 0.846 0.319
0.340 0.154 0.681
0.340 0.527 0.681
0.660 0.473 0.319
0.762 0.262 0.523
0.500 0.149 0.000
0.500 0.851 0.000
0.238 0.738 0.477
0.110 0.110 0.221
0.000 0.500 0.000
0.890 0.890 0.779
```

Its space group is Immm. The calculation puts the formation energy from the elements at -0.22 eV/atom. Its mass density is 8.87 Mg/m³. As for the volume: 255.7 Å³/cell. The calculation puts the spin magnetization at 0.00 Bohr magnetons per cell. For the density of states at the Fermi level, the calculation gives 11.8 states/eV/cell.

(6)
A relaxed structure of TcP2Pt. Source: Alexandria, functional PBE.

Cell and atoms, written as POSCAR:
```
TcP2Pt
1.0
-1.587 2.093 -5.941
2.441 0.153 -6.018
-1.650 -2.945 5.550
P Pt Tc
2 1 1
direct
0.792 0.292 0.500
0.056 0.056 0.000
0.436 0.436 0.000
0.216 0.716 0.500
```

Its space group is Imm2. The calculation puts the formation energy from the elements at -0.20 eV/atom. Its mass density is 9.76 Mg/m³. As for the volume: 60.4 Å³/cell. The calculation puts the spin magnetization at 0.00 Bohr magnetons per cell. For the density of states at the Fermi level, the calculation gives 2.9 states/eV/cell.

(7)
A relaxed structure of Pr2YCd4. Source: Alexandria, functional PBE.

Cell and atoms, written as POSCAR:
```
Pr2YCd4
1.0
5.083 0.000 1.588
2.293 4.536 1.588
-0.101 -0.062 9.251
Y Cd Pr
1 4 2
direct
0.000 0.000 0.000
0.125 0.125 0.625
0.624 0.624 0.129
0.875 0.875 0.375
0.376 0.376 0.871
0.249 0.249 0.253
0.751 0.751 0.747
```

Its space group is R-3m. The calculation puts the formation energy from the elements at -0.14 eV/atom. Its mass density is 6.36 Mg/m³. As for the volume: 214.3 Å³/cell. The calculation puts the spin magnetization at 0.00 Bohr magnetons per cell. For the density of states at the Fermi level, the calculation gives 7.1 states/eV/cell.

(8)
A relaxed structure of PrWN. Source: Alexandria, functional PBE.

Cell and atoms, written as POSCAR:
```
PrWN
1.0
3.600 0.000 0.000
0.000 3.599 0.000
0.000 0.000 15.931
Pr W N
4 4 4
direct
0.750 0.750 0.671
0.250 0.250 0.329
0.750 0.750 0.171
0.250 0.250 0.829
0.250 0.250 0.534
0.750 0.750 0.966
0.750 0.750 0.466
0.250 0.250 0.034
0.750 0.750 0.839
0.250 0.250 0.661
0.750 0.750 0.339
0.250 0.250 0.161
```

Its space group is P4/nmm. Its mass density is 10.90 Mg/m³. The value obtained for the formation energy without anion corrections is -704 meV per atom. As for the volume: 206.4 Å³/cell. The calculation puts the spin magnetization at 0.00 Bohr magnetons per cell. For the density of states at the Fermi level, the calculation gives 3.2 states/eV/cell.

(9)
A relaxed structure of K3Hf3MnS8. Source: Alexandria, functional PBE.

Cell and atoms, written as POSCAR:
```
K3Hf3MnS8
1.0
7.436 0.001 0.000
-3.717 6.446 -0.028
0.000 -4.268 7.498
Hf S K Mn
3 8 3 1
direct
0.500 0.500 0.500
0.500 0.000 0.500
0.000 0.500 0.500
0.268 0.536 0.304
0.732 0.464 0.696
0.233 0.467 0.691
0.724 0.957 0.690
0.233 0.957 0.690
0.767 0.533 0.309
0.276 0.043 0.310
0.767 0.043 0.310
0.000 0.000 0.000
0.500 0.500 0.000
0.000 0.500 0.000
0.000 0.000 0.500
```

Its space group is C2/m. Its mass density is 4.47 Mg/m³. The value obtained for the formation energy without anion corrections is -1400 meV per atom. As for the volume: 358.6 Å³/cell. The calculation puts the spin magnetization at 4.80 Bohr magnetons per cell. For the density of states at the Fermi level, the calculation gives 4.3 states/eV/cell.

(10)
A relaxed structure of BaYTlZn. Source: Alexandria, functional PBE.

Cell and atoms, written as POSCAR:
```
BaYTlZn
1.0
5.603 0.000 0.000
2.801 4.852 0.000
2.801 1.617 4.575
Ba Zn Y Tl
1 1 1 1
direct
0.250 0.250 0.250
0.000 0.000 0.000
0.750 0.750 0.750
0.500 0.500 0.500
```

Its space group is F-43m. The calculation puts the formation energy from the elements at -0.18 eV/atom. Its mass density is 6.62 Mg/m³. As for the volume: 124.4 Å³/cell. The calculation puts the spin magnetization at 0.00 Bohr magnetons per cell. For the density of states at the Fermi level, the calculation gives 3.2 states/eV/cell.

(11)
A relaxed structure of AlAuSe. Source: Alexandria, functional PBE.

Cell and atoms, written as POSCAR:
```
AlAuSe
1.0
3.593 0.000 0.000
-1.796 3.111 0.000
0.000 0.000 5.413
Au Al Se
1 1 1
direct
0.667 0.333 0.290
0.000 0.000 0.985
0.333 0.667 0.725
```

Its space group is P3m1. Its mass density is 8.31 Mg/m³. The value obtained for the formation energy without anion corrections is -431 meV per atom. As for the volume: 60.5 Å³/cell. The calculation puts the spin magnetization at 0.00 Bohr magnetons per cell. For the density of states at the Fermi level, the calculation gives 0.4 states/eV/cell.

(12)
A relaxed structure of MgMn3Pt4. Source: Alexandria, functional PBE.

Cell and atoms, written as POSCAR:
```
MgMn3Pt4
1.0
-1.433 -2.471 -3.600
1.530 -4.909 2.761
-8.327 -0.527 3.676
Mn Pt Mg
6 8 2
direct
0.562 0.500 0.750
0.567 0.000 0.750
0.000 0.000 0.500
0.000 0.000 0.000
0.433 0.000 0.250
0.438 0.500 0.250
0.500 0.248 0.500
0.068 0.753 0.750
0.932 0.247 0.250
0.500 0.752 0.500
0.932 0.753 0.250
0.500 0.248 0.000
0.068 0.247 0.750
0.500 0.752 0.000
0.000 0.500 0.000
0.000 0.500 0.500
```

Its space group is Pmma. The calculation puts the formation energy from the elements at -0.48 eV/atom. Its mass density is 13.16 Mg/m³. As for the volume: 244.6 Å³/cell. The calculation puts the spin magnetization at 25.91 Bohr magnetons per cell. For the density of states at the Fermi level, the calculation gives 7.4 states/eV/cell.